A relaxed Lu2Mo4O15 crystal. Source: Alexandria via LeMat-Bulk, functional PBE+U.

```
Lu2Mo4O15
1.0
6.8297 0.0000 0.0000
0.0000 9.5888 0.0000
-2.6961 0.0000 10.2975
Lu Mo O
4 8 30
Direct
0.2060 0.0224 0.2748 Lu
0.2060 0.4776 0.7748 Lu
0.7940 0.5224 0.2252 Lu
0.7940 0.9776 0.7252 Lu
0.0781 0.7433 0.0087 Mo
0.0781 0.7567 0.5087 Mo
0.3840 0.0953 0.8416 Mo
0.3840 0.4047 0.3416 Mo
0.6160 0.5953 0.6584 Mo
0.6160 0.9047 0.1584 Mo
0.9219 0.2433 0.4913 Mo
0.9219 0.2567 0.9913 Mo
0.0332 0.1248 0.4007 O
0.0332 0.3752 0.9007 O
0.1180 0.1615 0.1018 O
0.1180 0.3385 0.6018 O
0.1235 0.0512 0.8114 O
0.1235 0.4488 0.3114 O
0.2185 0.6504 0.9148 O
0.2185 0.8496 0.4148 O
0.2421 0.6361 0.6194 O
0.2421 0.8639 0.1194 O
0.3834 0.2199 0.3469 O
0.3834 0.2801 0.8469 O
0.4596 0.0276 0.7056 O
0.4596 0.4724 0.2056 O
0.5000 0.0000 0.0000 O
0.5000 0.5000 0.5000 O
0.5404 0.5276 0.7944 O
0.5404 0.9724 0.2944 O
0.6166 0.7199 0.1531 O
0.6166 0.7801 0.6531 O
0.7579 0.1361 0.8806 O
0.7579 0.3639 0.3806 O
0.7815 0.1504 0.5852 O
0.7815 0.3496 0.0852 O
0.8765 0.5512 0.6886 O
0.8765 0.9488 0.1886 O
0.8820 0.6615 0.3982 O
0.8820 0.8385 0.8982 O
0.9668 0.6248 0.0993 O
0.9668 0.8752 0.5993 O
```

Results
Total DFT energy (no corrections) = -7.46 eV/atom
ρ = 4.795 Mg/m³
Total moment = 0.00 Bohr magnetons per cell
Symmetry = P2_1/c (14)